# 1
# Re6P13 | Alexandria via LeMat-Bulk | meta-GGA SCAN | single point on PBEsol structure
# E = -1138.7 eV/cell
# magnetic moment = 0.000 μB per atom
# energy relative to the elements = -399 meV per atom
data_Re6P13
_space_group_name_H-M_alt 'P 1'
_space_group_IT_number 1
_cell_length_a 9.428
_cell_length_b 9.428
_cell_length_c 9.428
_cell_angle_alpha 111.75
_cell_angle_beta 111.75
_cell_angle_gamma 111.75
loop_
_space_group_symop_operation_xyz
'x,y,z'
loop_
_atom_site_label
_atom_site_type_symbol
_atom_site_fract_x
_atom_site_fract_y
_atom_site_fract_z
Re1 Re 0.002 0.230 0.335
Re2 Re 0.169 0.591 0.679
Re3 Re 0.230 0.335 0.002
Re4 Re 0.321 0.831 0.409
Re5 Re 0.335 0.002 0.230
Re6 Re 0.409 0.321 0.831
Re7 Re 0.591 0.679 0.169
Re8 Re 0.665 0.998 0.770
Re9 Re 0.679 0.169 0.591
Re10 Re 0.770 0.665 0.998
Re11 Re 0.831 0.409 0.321
Re12 Re 0.998 0.770 0.665
P1 P 0.096 0.887 0.273
P2 P 0.105 0.501 0.112
P3 P 0.112 0.105 0.501
P4 P 0.113 0.727 0.904
P5 P 0.120 0.706 0.490
P6 P 0.133 0.133 0.133
P7 P 0.273 0.096 0.887
P8 P 0.294 0.510 0.880
P9 P 0.303 0.498 0.535
P10 P 0.465 0.697 0.502
P11 P 0.490 0.120 0.706
P12 P 0.498 0.535 0.303
P13 P 0.499 0.888 0.895
P14 P 0.501 0.112 0.105
P15 P 0.502 0.465 0.697
P16 P 0.510 0.880 0.294
P17 P 0.535 0.303 0.498
P18 P 0.697 0.502 0.465
P19 P 0.706 0.490 0.120
P20 P 0.727 0.904 0.113
P21 P 0.867 0.867 0.867
P22 P 0.880 0.294 0.510
P23 P 0.887 0.273 0.096
P24 P 0.888 0.895 0.499
P25 P 0.895 0.499 0.888
P26 P 0.904 0.113 0.727

# 2
# ReP2 | Alexandria via LeMat-Bulk | meta-GGA SCAN | single point on PBEsol structure
# E = -90.7 eV/cell
# magnetic moment = 0.000 μB per atom
# energy relative to the elements = 400 meV per atom
data_ReP2
_space_group_name_H-M_alt 'P 1'
_space_group_IT_number 1
_cell_length_a 4.406
_cell_length_b 4.406
_cell_length_c 4.406
_cell_angle_alpha 140.74
_cell_angle_beta 131.87
_cell_angle_gamma 63.79
loop_
_space_group_symop_operation_xyz
'x,y,z'
loop_
_atom_site_label
_atom_site_type_symbol
_atom_site_fract_x
_atom_site_fract_y
_atom_site_fract_z
Re1 Re 0.000 0.000 0.000
P1 P 0.338 0.338 0.000
P2 P 0.662 0.662 0.000

# 3
# ReP2 | Alexandria via LeMat-Bulk | meta-GGA SCAN | single point on PBEsol structure
# E = -91.4 eV/cell
# magnetic moment = 0.000 μB per atom
# energy relative to the elements = 181 meV per atom
data_ReP2
_space_group_name_H-M_alt 'P 1'
_space_group_IT_number 1
_cell_length_a 4.024
_cell_length_b 4.024
_cell_length_c 4.024
_cell_angle_alpha 60.00
_cell_angle_beta 60.00
_cell_angle_gamma 60.00
loop_
_space_group_symop_operation_xyz
'x,y,z'
loop_
_atom_site_label
_atom_site_type_symbol
_atom_site_fract_x
_atom_site_fract_y
_atom_site_fract_z
Re1 Re 0.000 0.000 0.000
P1 P 0.250 0.250 0.250
P2 P 0.750 0.750 0.750